(1)
Below is an optimized crystal structure of Ho3Tm2Sn2, with properties calculated at the PBE-GGA level.

Unit cell a=16.4936 b=3.4597 c=7.8255 alpha=90.00 beta=115.67 gamma=90.00
With the nearest neighbours (Å) after each atom.
Space group C2/m (No. 12)
Asymmetric unit:
Ho 0.0000 0.0000 0.0000 [2 per cell]  4 Sn 3.18, 4 Ho 3.20-3.46, 2 Tm 3.35
Ho 0.2138 0.0000 0.1482 [4 per cell]  5 Ho 3.20-3.49, 3 Sn 3.20-3.35, 3 Tm 3.48-3.50
Tm 0.1209 0.0000 0.4711 [4 per cell]  4 Sn 3.19-3.45, 4 Ho 3.35-3.50, 2 Tm 3.46
Sn 0.0775 0.5000 0.7640 [4 per cell]  5 Ho 3.18-3.35, 4 Tm 3.19-3.45, 2 Sn 3.46

Output
Total magnetization = 1.16 Bohr magnetons per cell
Calculated formation energy = -0.243 eV per atom


(2)
Below is an optimized crystal structure of Ba6TlPb5, with properties calculated at the PBE-GGA level.

Unit cell a=6.3767 b=7.9001 c=10.1292 alpha=112.92 beta=95.13 gamma=90.01
With the nearest neighbours (Å) after each atom.
Space group P-1 (No. 2)
Asymmetric unit:
Ba 0.0002 0.2469 0.0003 [2 per cell]  6 Pb 3.74-3.83, 2 Tl 3.76-3.77, 4 Ba 3.90-4.00
Ba 0.3533 0.0833 0.6701 [2 per cell]  7 Pb 3.69-3.79, 1 Tl 3.71, 4 Ba 3.84-3.99
Ba 0.3528 0.5868 0.6696 [2 per cell]  7 Pb 3.70-3.80, 1 Tl 3.71, 4 Ba 3.83-3.99
Tl 0.5000 0.5000 0.0000 [1 per cell]  8 Ba 3.71-3.77, 4 Pb 3.95-4.12
Pb 0.1433 0.6734 0.3450 [2 per cell]  3 Pb 3.55-3.96, 8 Ba 3.73-3.83
Pb 0.1457 0.1733 0.3479 [2 per cell]  3 Pb 3.55-3.96, 8 Ba 3.72-3.82
Pb 0.5000 0.0000 0.0000 [1 per cell]  8 Ba 3.69-3.74, 2 Tl 3.95, 2 Pb 4.13

Output
Total magnetization = 0.00 Bohr magnetons per cell
Calculated formation energy = -0.491 eV per atom


(3)
Below is an optimized crystal structure of FeRuW2, with properties calculated at the PBE-GGA level.

Unit cell a=9.0126 b=2.7651 c=4.7052 alpha=90.00 beta=100.21 gamma=90.00
With the nearest neighbours (Å) after each atom.
Space group Cm (No. 8)
Asymmetric unit:
Fe 0.0000 0.0000 0.0000 [2 per cell]  7 W 2.63-2.74, 3 Ru 2.68-2.90, 2 Fe 2.77
Ru 0.2632 0.0000 0.7249 [2 per cell]  7 W 2.61-2.80, 3 Fe 2.68-2.90, 2 Ru 2.77
W 0.0105 0.5000 0.5068 [2 per cell]  3 Ru 2.61-2.71, 4 Fe 2.72-2.74, 5 W 2.76-2.92
W 0.2447 0.5000 0.2011 [2 per cell]  3 Fe 2.63-2.64, 4 Ru 2.66-2.80, 5 W 2.76-2.92

Output
Total magnetization = 2.28 Bohr magnetons per cell
Calculated formation energy = 0.166 eV per atom


(4)
Below is an optimized crystal structure of LaSm7Dy4, with properties calculated at the PBE-GGA level.

Unit cell a=12.1324 b=6.0077 c=12.7462 alpha=90.00 beta=117.91 gamma=90.00
With the nearest neighbours (Å) after each atom.
Space group C2/m (No. 12)
Asymmetric unit:
La 0.0000 0.0000 0.0000 [2 per cell]  4 Sm 3.00-3.14
Sm 0.0000 0.5000 0.0000 [2 per cell]  2 La 3.00, 2 Sm 3.18
Sm 0.0578 0.0000 0.3334 [4 per cell]  4 Sm 3.34-3.57, 3 Dy 3.64-3.68
Sm 0.1313 0.5000 0.5037 [4 per cell]  2 Sm 3.14-3.35, 3 Dy 3.29-3.50
Sm 0.2090 0.0000 0.9202 [4 per cell]  1 La 3.14, 4 Sm 3.18-3.50, 4 Dy 3.29-3.43
Dy 0.1326 0.5000 0.7752 [4 per cell]  7 Sm 3.42-3.64, 2 Dy 3.76
Dy 0.2462 0.5000 0.3152 [4 per cell]  5 Sm 3.29-3.68

Output
Total magnetization = 0.00 Bohr magnetons per cell
Calculated formation energy = 0.245 eV per atom


(5)
Below is an optimized crystal structure of Ce6PmS8, with properties calculated at the PBE-GGA level.

Unit cell a=11.3773 b=11.3773 c=11.3773 alpha=90.00 beta=90.00 gamma=90.00
With the nearest neighbours (Å) after each atom.
Space group Fm-3m (No. 225)
Asymmetric unit:
Ce 0.0000 0.2500 0.2500 [24 per cell]  6 S 2.84
Pm 0.0000 0.0000 0.0000 [4 per cell]  6 S 2.84
S 0.0000 0.0000 0.2499 [24 per cell]  1 Pm 2.84, 4 Ce 2.84
S 0.2500 0.2500 0.2500 [8 per cell]  6 Ce 2.84

Output
Total magnetization = 21.35 Bohr magnetons per cell
Formation energy from raw total energies = -2.0262 eV/atom


(6)
Below is an optimized crystal structure of TmNi3As3, with properties calculated at the PBE-GGA level.

Unit cell a=6.3926 b=6.3926 c=6.3926 alpha=90.00 beta=90.00 gamma=90.00
With the nearest neighbours (Å) after each atom.
Space group Pm-3n (No. 223)
Asymmetric unit:
Tm 0.0000 0.0000 0.0000 [2 per cell]  12 As 3.57, 12 Ni 3.57
Ni 0.0000 0.2500 0.5000 [6 per cell]  4 As 2.26
As 0.0000 0.5000 0.2500 [6 per cell]  4 Ni 2.26

Output
Total magnetization = 0.00 Bohr magnetons per cell
Calculated formation energy = -0.244 eV per atom


The highest total magnetization belongs to which entry?
Ce6PmS8